BeNi2Te: single point on PBEsol structure, meta-GGA SCAN.

The calculation puts the electronic total energy at -73.667 eV per formula unit. For the density of states at the Fermi level, the calculation gives 5.5 states/eV/cell. As for the crystal system: tetragonal. The volume comes out at 100 Å³ per cell.

It has space group I-4m2 (No. 119), with a = 3.6076 Å, b = 3.6076 Å, c = 7.7137 Å, α = 90.00°, β = 90.00° and γ = 90.00°. The inequivalent atoms are Be at (0.0000, 0.0000, 0.0000), Ni at (0.0000, 0.0000, 0.5000), Ni at (0.0000, 0.5000, 0.2500) and Te at (0.0000, 0.5000, 0.7500).